No. 1
Ho6Er5Tm2, optimized geometry, DFT PBE; energy relative to the elements = 9.79 kJ per mole of atoms
1.0
-2.034 2.858 0.388
-1.726 0.309 -11.332
-16.021 -11.692 2.122
Ho Er Tm
12 10 4
Cartesian
-6.052 -4.285 -0.168
-11.695 -7.098 -9.042
-3.111 -1.355 -6.337
-14.636 -10.028 -2.873
-3.769 -0.064 -3.236
-16.013 -8.460 -5.586
-8.272 -2.566 -8.420
-11.510 -5.958 -0.402
-7.671 -4.722 -5.444
-10.076 -6.661 -3.766
-1.405 -0.933 -0.494
-16.342 -10.449 -8.717
-8.741 -3.734 -2.271
-11.041 -4.790 -6.551
-3.208 1.087 -8.784
-16.573 -9.612 -0.038
-6.404 -1.576 -5.911
-13.378 -6.948 -2.911
-4.815 -1.201 -0.342
-14.967 -7.323 -8.481
-1.880 1.584 -5.472
-9.028 -4.417 1.255
-5.235 -3.297 -3.163
-12.513 -8.086 -6.048
-4.790 -2.188 -9.002
-12.957 -9.194 -0.209


No. 2
Ho6ErTm3, optimized geometry, DFT PBE; energy relative to the elements = 14.48 kJ per mole of atoms
1.0
-2.869 -1.148 -5.269
9.450 0.525 -5.259
-3.448 -9.477 3.941
Ho Er Tm
12 2 6
Cartesian
4.486 -5.526 -1.479
1.862 -7.023 -3.265
0.752 -9.204 -0.941
4.733 -5.578 -7.439
7.623 -0.438 -7.039
-1.645 -7.385 -2.063
5.381 -2.474 -3.417
-5.474 -10.055 -1.355
-2.221 -4.770 -0.289
1.760 -1.144 -6.786
2.511 -2.581 -1.046
-0.113 -4.077 -2.831
-1.199 -7.572 1.246
4.911 -2.296 -6.770
5.074 -6.864 -4.499
0.834 -9.614 -5.132
1.373 -5.660 -0.030
2.778 -4.032 -4.690
-3.125 -3.709 -4.263
1.115 -0.959 -3.630


No. 3
Ho4Er7Tm, optimized geometry, DFT PBE; energy relative to the elements = 8.95 kJ per mole of atoms
1.0
6.545 1.311 0.587
4.313 7.126 2.112
-1.358 -0.571 8.798
Ho Er Tm
4 7 1
Cartesian
5.993 5.121 4.182
3.507 2.745 7.315
7.772 6.609 8.301
1.728 1.257 3.195
5.735 4.082 9.867
3.765 3.785 1.630
6.922 3.168 6.886
2.578 4.699 4.611
4.605 5.807 7.281
3.272 0.656 0.293
4.895 2.059 4.215
0.000 0.000 0.000


No. 4
Ho8Er3Tm3, optimized geometry, DFT PBE; energy relative to the elements = 11.81 kJ per mole of atoms
1.0
5.532 0.000 0.000
2.766 8.680 -2.654
2.766 -0.191 9.074
Ho Er Tm
8 3 3
Cartesian
5.532 0.926 4.805
5.532 7.563 1.615
5.532 4.876 -0.417
5.532 3.613 6.837
8.298 6.513 3.012
2.766 1.976 3.408
8.298 4.672 5.447
2.766 3.817 0.973
5.532 4.244 3.210
5.532 1.710 1.293
5.532 6.779 5.127
2.766 0.000 0.000
2.766 7.070 -0.526
2.766 1.419 6.946


No. 5
Ho2Er7Tm3, optimized geometry, DFT PBE; energy relative to the elements = 11.36 kJ per mole of atoms
1.0
-2.415 -0.831 -2.459
2.203 -5.127 -0.431
-12.529 -3.461 13.477
Ho Er Tm
2 7 3
Cartesian
-6.955 -6.811 9.134
-3.371 -1.777 3.912
-9.334 -4.921 10.832
-5.046 -5.805 6.918
0.000 0.000 0.000
-0.992 -3.667 2.214
-2.844 -1.278 0.669
-9.897 -8.141 9.918
-5.280 -2.784 6.127
-0.106 -2.979 -1.445
-4.333 -5.208 3.461
-8.408 -4.212 7.127


No. 6
Ho2Er5Tm3, optimized geometry, DFT PBE; energy relative to the elements = 5.27 kJ per mole of atoms
1.0
6.335 1.132 0.862
4.546 10.438 -2.066
4.546 0.778 10.612
Ho Er Tm
4 10 6
Cartesian
4.209 7.712 -1.091
11.219 4.636 10.500
7.376 1.560 8.156
8.051 10.788 1.252
6.130 6.256 4.010
9.297 6.092 5.398
9.987 9.349 6.362
2.273 3.167 1.652
5.440 2.999 3.046
13.155 9.181 7.756
4.202 5.816 1.385
11.225 6.532 8.023
7.369 3.445 5.671
8.058 8.903 3.738
6.130 10.362 -1.379
9.297 1.986 10.787
8.058 5.021 8.832
7.370 7.327 0.576
11.225 10.414 2.928
4.202 1.934 6.480


No. 7
Ho5Er3Tm, optimized geometry, DFT PBE; energy relative to the elements = 70.03 kJ per mole of atoms
1.0
-2.991 -0.643 -6.924
3.255 -8.001 3.475
-9.815 1.423 4.109
Ho Er Tm
10 6 2
Cartesian
-8.121 0.904 1.323
-8.624 -4.385 2.036
-2.487 -3.127 -4.828
-0.928 -2.836 -1.376
-3.643 -5.126 -0.004
-4.686 -0.124 -4.138
-2.200 -4.771 3.491
-7.352 -2.451 -2.831
-5.909 -2.096 0.664
-7.065 -4.095 5.488
0.000 0.000 0.000
-4.144 -2.605 -2.049
-4.908 0.712 2.054
-5.407 -4.616 2.709
-9.093 -1.902 -0.089
-0.459 -5.319 0.749
-9.623 0.581 -2.152
-3.184 0.199 -0.663


No. 8
Ho2Er3Tm9, optimized geometry, DFT PBE; energy relative to the elements = 12.07 kJ per mole of atoms
1.0
5.736 1.028 1.852
4.329 11.302 5.465
2.437 3.800 9.244
Ho Er Tm
2 3 9
Cartesian
6.255 6.520 8.893
6.247 9.610 7.667
2.437 3.800 9.244
5.653 5.050 5.869
6.850 11.080 10.691
9.120 8.579 9.206
10.236 14.295 14.098
2.266 1.835 2.463
7.740 12.044 13.710
4.763 4.086 2.850
9.700 12.821 10.897
2.802 3.309 5.664
4.259 8.784 10.476
8.244 7.346 6.084


No. 9
Ho4ErTm, optimized geometry, DFT PBE; energy relative to the elements = 70.34 kJ per mole of atoms
1.0
-2.298 -1.480 1.993
5.624 -5.147 2.661
1.867 5.123 5.956
Ho Er Tm
4 1 1
Cartesian
1.699 1.701 6.092
5.708 -0.019 6.567
-0.515 -1.486 4.044
3.494 -3.205 4.518
3.745 -0.012 4.309
-1.149 -0.740 0.997


No. 10
Ho2Er3Tm6, optimized geometry, DFT PBE; energy relative to the elements = 28.32 kJ per mole of atoms
1.0
4.651 0.000 0.000
0.000 4.651 0.000
-2.325 -2.325 16.333
Ho Er Tm
2 3 6
Cartesian
0.000 0.000 14.820
2.325 2.325 1.513
0.000 0.000 0.000
2.325 2.325 9.778
0.000 0.000 6.555
0.000 2.325 3.979
2.325 0.000 3.979
2.325 0.000 12.354
0.000 2.325 12.354
2.325 2.325 6.390
0.000 0.000 9.943


No. 11
Ho6ErTm3, optimized geometry, DFT PBE; energy relative to the elements = 12.17 kJ per mole of atoms
1.0
6.282 0.000 0.000
0.000 9.895 -5.594
0.000 -2.168 11.159
Ho Er Tm
12 2 6
Cartesian
0.427 5.990 2.789
3.568 4.545 4.797
2.055 2.586 7.437
5.196 7.873 0.094
2.014 9.710 -5.337
4.929 1.459 6.122
1.788 6.269 -0.558
5.155 -1.982 10.901
2.055 -0.146 5.470
5.196 5.142 -1.873
0.427 3.183 0.768
3.568 1.737 2.775
0.104 -0.224 8.460
3.245 7.952 -2.895
3.079 7.944 2.513
6.220 4.902 6.738
0.584 2.887 4.139
3.725 4.841 1.425
6.220 -0.217 3.052
3.079 2.826 -1.173


No. 12
Ho5ErTm5, optimized geometry, DFT PBE; energy relative to the elements = 14.60 kJ per mole of atoms
1.0
-5.410 3.937 -1.544
1.316 -8.310 -4.048
-6.810 0.756 4.232
Ho Er Tm
5 1 5
Cartesian
-4.846 -1.854 -3.244
-7.764 -1.983 -0.959
-2.705 1.969 -0.772
-3.140 -1.633 -0.401
-6.058 -1.762 1.885
0.000 0.000 0.000
-5.707 0.626 -0.688
-8.557 0.574 1.063
-3.405 0.378 2.116
-2.347 -4.190 -2.422
-5.197 -4.242 -0.671


Computed magnetization, in the same sequence as the records: 0.00, 0.00, 0.00, 0.00, 0.00, 0.00, 0.00, 0.00, 0.00, 0.00, 0.00, 0.00 μB per atom.